Record 1
This record from OQMD describes DyHfTeC after structural relaxation. The functional is PBE.

Results
Volume, Å³ per cell: 158
E, eV/atom: -7.5566
Polymorph energy (0 for the lowest one), meV/atom: 20.0

a = 3.643 Å, b = 3.643 Å, c = 13.744 Å
α = 90.00°, β = 90.00°, γ = 120.00°
Element x y z (fractional)
Dy: 0.333 0.667 0.404
Dy: 0.667 0.333 0.596
Hf: 0.333 0.667 0.083
Hf: 0.667 0.333 0.917
Te: 0.333 0.667 0.768
Te: 0.667 0.333 0.232
C: 0.000 0.000 0.000
C: 0.000 0.000 0.500



Record 2
This record from OQMD describes DyHfTeC after structural relaxation. The functional is PBE.

Results
Volume, Å³ per cell: 157
E, eV/atom: -7.5766
Polymorph energy (0 for the lowest one), meV/atom: 0.0

a = 3.631 Å, b = 3.631 Å, c = 13.751 Å
α = 90.00°, β = 90.00°, γ = 120.00°
Element x y z (fractional)
Dy: 0.333 0.667 0.000
Dy: 0.667 0.333 0.500
Hf: 0.333 0.667 0.319
Hf: 0.667 0.333 0.819
Te: 0.333 0.667 0.668
Te: 0.667 0.333 0.168
C: 0.000 0.000 0.396
C: 0.000 0.000 0.896



Record 3
This record from OQMD describes DyHfTeC after structural relaxation. The functional is PBE.

Results
Volume, Å³ per cell: 157
E, eV/atom: -7.5607
Polymorph energy (0 for the lowest one), meV/atom: 15.9

a = 3.626 Å, b = 3.626 Å, c = 13.790 Å
α = 90.00°, β = 90.00°, γ = 120.00°
Element x y z (fractional)
Dy: 0.000 0.000 0.165
Dy: 0.000 0.000 0.835
Hf: 0.333 0.667 0.346
Hf: 0.333 0.667 0.654
Te: 0.000 0.000 0.500
Te: 0.333 0.667 0.000
C: 0.667 0.333 0.271
C: 0.667 0.333 0.729



Record 4
This record from OQMD describes DyHf3Te2C2 after structural relaxation. The functional is PBE.

Results
Volume, Å³ per cell: 149
E, eV/atom: -8.2424

a = 3.562 Å, b = 3.562 Å, c = 13.519 Å
α = 90.00°, β = 90.00°, γ = 120.00°
Element x y z (fractional)
Dy: 0.000 0.000 0.000
Hf: 0.000 0.000 0.672
Hf: 0.667 0.333 0.185
Hf: 0.667 0.333 0.502
Te: 0.000 0.000 0.345
Te: 0.667 0.333 0.825
C: 0.333 0.667 0.106
C: 0.333 0.667 0.586



Record 5
This record from OQMD describes Dy6Hg2C after structural relaxation. The functional is PBE.

Results
Volume, Å³ per cell: 468
E, eV/atom: -4.5224

a = 6.922 Å, b = 6.923 Å, c = 11.967 Å
α = 90.00°, β = 125.32°, γ = 90.00°
Element x y z (fractional)
Dy: 0.161 0.003 0.243
Dy: 0.161 0.497 0.743
Dy: 0.281 0.750 0.043
Dy: 0.281 0.750 0.543
Dy: 0.292 0.240 0.043
Dy: 0.292 0.260 0.543
Dy: 0.708 0.740 0.457
Dy: 0.708 0.760 0.957
Dy: 0.719 0.250 0.457
Dy: 0.719 0.250 0.957
Dy: 0.839 0.503 0.257
Dy: 0.839 0.997 0.757
Hg: 0.259 0.007 0.749
Hg: 0.259 0.493 0.249
Hg: 0.741 0.507 0.751
Hg: 0.741 0.993 0.251
C: 0.000 0.000 0.000
C: 0.000 0.500 0.500



Record 6
This record from OQMD describes Dy3HgC after structural relaxation. The functional is PBE.

Results
Volume, Å³ per cell: 117
E, eV/atom: -5.0334

a = 4.896 Å, b = 4.896 Å, c = 4.896 Å
α = 90.00°, β = 90.00°, γ = 90.00°
Element x y z (fractional)
Dy: 0.000 0.000 0.500
Dy: 0.000 0.500 0.000
Dy: 0.500 0.000 0.000
Hg: 0.500 0.500 0.500
C: 0.000 0.000 0.000



Record 7
This record from OQMD describes Dy4HgC2S after structural relaxation. The functional is PBE.

Results
Volume, Å³ per cell: 166
E, eV/atom: -5.9714

a = 3.665 Å, b = 3.665 Å, c = 14.259 Å
α = 90.00°, β = 90.00°, γ = 120.00°
Element x y z (fractional)
Dy: 0.000 0.000 0.131
Dy: 0.000 0.000 0.869
Dy: 0.667 0.333 0.320
Dy: 0.667 0.333 0.680
Hg: 0.000 0.000 0.500
C: 0.333 0.667 0.228
C: 0.333 0.667 0.772
S: 0.667 0.333 0.000



Record 8
This record from OQMD describes DyHoC after structural relaxation. The functional is PBE.

Results
Volume, Å³ per cell: 137
E, eV/atom: -5.8608
Polymorph energy (0 for the lowest one), meV/atom: 566.1

a = 4.434 Å, b = 4.434 Å, c = 6.958 Å
α = 90.00°, β = 90.00°, γ = 90.00°
Element x y z (fractional)
Dy: 0.000 0.000 0.250
Dy: 0.000 0.000 0.750
Ho: 0.500 0.500 0.000
Ho: 0.500 0.500 0.500
C: 0.000 0.500 0.000
C: 0.500 0.000 0.500



Record 9
This record from OQMD describes DyHoC after structural relaxation. The functional is PBE.

Results
Volume, Å³ per cell: 136
E, eV/atom: -6.4268
Polymorph energy (0 for the lowest one), meV/atom: 0.1

a = 6.459 Å, b = 6.459 Å, c = 6.198 Å
α = 99.34°, β = 99.34°, γ = 32.19°
Element x y z (fractional)
Dy: 0.110 0.110 0.371
Dy: 0.890 0.890 0.629
Ho: 0.391 0.391 0.130
Ho: 0.609 0.609 0.870
C: 0.000 0.000 0.000
C: 0.500 0.500 0.500



Record 10
This record from OQMD describes DyHo3C after structural relaxation. The functional is PBE.

Results
Volume, Å³ per cell: 253
E, eV/atom: -5.5295

a = 7.098 Å, b = 7.098 Å, c = 7.098 Å
α = 120.06°, β = 120.06°, γ = 89.89°
Element x y z (fractional)
Dy: 0.250 0.750 0.500
Dy: 0.750 0.250 0.500
Ho: 0.249 0.749 0.998
Ho: 0.250 0.250 0.000
Ho: 0.251 0.249 0.500
Ho: 0.749 0.751 0.500
Ho: 0.750 0.750 0.000
Ho: 0.751 0.251 0.002
C: 0.000 0.000 0.000
C: 0.500 0.500 0.000



Record 11
This record from OQMD describes Dy2Ho2C3 after structural relaxation. The functional is PBE.

Results
Volume, Å³ per cell: 131
E, eV/atom: -6.8023

a = 6.711 Å, b = 6.711 Å, c = 6.065 Å
α = 113.67°, β = 113.67°, γ = 31.86°
Element x y z (fractional)
Dy: 0.136 0.136 0.496
Dy: 0.864 0.864 0.504
Ho: 0.367 0.367 0.053
Ho: 0.633 0.633 0.947
C: 0.221 0.221 0.208
C: 0.500 0.500 0.500
C: 0.779 0.779 0.792



Record 12
This record from OQMD describes DyHoC after structural relaxation. The functional is PBE.

Results
Volume, Å³ per cell: 68
E, eV/atom: -6.4269
Polymorph energy (0 for the lowest one), meV/atom: 0.0

a = 6.437 Å, b = 6.437 Å, c = 6.437 Å
α = 32.35°, β = 32.35°, γ = 32.35°
Element x y z (fractional)
Dy: 0.000 0.000 0.000
Ho: 0.520 0.520 0.520
C: 0.260 0.260 0.260